# GGA-PBE Ho3TmIn2B2, optimized geometry
# Space group: No. 156
# Total moment: 0.02 μB per cell
# E: -4.755 eV/atom
data_Ho3TmIn2B2
_chemical_formula_sum 'Ho3 Tm1 In2 B2'
_symmetry_space_group_name_H-M 'P 1'
_symmetry_Int_Tables_number 1
_symmetry_space_group_name_Hall 'P 1'
_cell_length_a 3.5945
_cell_length_b 3.5945
_cell_length_c 16.8705
_cell_angle_alpha 90.00
_cell_angle_beta 90.00
_cell_angle_gamma 120.00
loop_
_atom_site_label
_atom_site_fract_x
_atom_site_fract_y
_atom_site_fract_z
Ho1 0.0000 0.0000 0.0000
Ho2 0.0000 0.0000 0.3183
Ho3 0.3333 0.6667 0.8158
Tm1 0.3333 0.6667 0.5001
In1 0.0000 0.0000 0.6570
In2 0.3333 0.6667 0.1590
B1 0.6667 0.3333 0.4098
B2 0.6667 0.3333 0.9080